Record 1
The following is a GGA-PBE calculation of Ta2TlNi after structural relaxation, from Alexandria via LeMat-Bulk.

- energy of formation (meV per atom) = 425
- calculated volume (Å³/f.u.) = 70.2
- density of states at the Fermi level (states/eV/atom) = 1.5356

abc: 4.0125 4.0125 8.7263
angles: 90.00 90.00 90.00
Space group I-4m2 (No. 119)
One atom of each set of equivalent atoms:
Ta1 0.0000 0.0000 0.0000 (multiplicity 2)
Ta2 0.0000 0.5000 0.2500 (multiplicity 2)
Tl1 0.0000 0.5000 0.7500 (multiplicity 2)
Ni1 0.0000 0.0000 0.5000 (multiplicity 2)


Record 2
The following is a GGA-PBE calculation of TaTlVNi2 after structural relaxation, from Alexandria via LeMat-Bulk.

- energy of formation (meV per atom) = 1199
- calculated volume (Å³/f.u.) = 100.7
- density of states at the Fermi level (states/eV/atom) = 0.9384

abc: 4.6493 4.6493 4.6589
angles: 90.00 90.00 90.00
Space group P4/mmm (No. 123)
One atom of each set of equivalent atoms:
Ta1 0.0000 0.0000 0.0000 (multiplicity 1)
Tl1 0.5000 0.5000 0.5000 (multiplicity 1)
V1 0.0000 0.0000 0.5000 (multiplicity 1)
Ni1 0.0000 0.5000 0.0000 (multiplicity 2)


Record 3
The following is a GGA-PBE calculation of TmTa2Ni9 after structural relaxation, from Alexandria via LeMat-Bulk.

- energy of formation (meV per atom) = -315
- calculated volume (Å³/f.u.) = 156.7
- density of states at the Fermi level (states/eV/atom) = 0.9435

abc: 4.8018 4.8018 23.5377
angles: 90.00 90.00 120.00
Space group R-3m (No. 166, hexagonal axes)
One atom of each set of equivalent atoms:
Tm1 0.0000 0.0000 0.0000 (multiplicity 3)
Ta1 0.0000 0.0000 0.1414 (multiplicity 6)
Ni1 0.0000 0.0000 0.3337 (multiplicity 6)
Ni2 0.0000 0.0000 0.5000 (multiplicity 3)
Ni3 0.0052 0.5026 0.9134 (multiplicity 18)


Record 4
The following is a GGA-PBE calculation of Tm2Ta2Ni15 after structural relaxation, from Alexandria via LeMat-Bulk.

- energy of formation (meV per atom) = -270
- calculated volume (Å³/f.u.) = 249.7
- density of states at the Fermi level (states/eV/atom) = 1.4009

abc: 8.3327 8.3327 12.4589
angles: 90.00 90.00 120.00
Space group R-3m (No. 166, hexagonal axes)
One atom of each set of equivalent atoms:
Tm1 0.0000 0.0000 0.1489 (multiplicity 6)
Ta1 0.0000 0.0000 0.3963 (multiplicity 6)
Ni1 0.0000 0.3012 0.5000 (multiplicity 18)
Ni2 0.0000 0.5000 0.0000 (multiplicity 9)
Ni3 0.0023 0.5012 0.6554 (multiplicity 18)


Record 5
The following is a GGA-PBE calculation of TmTaNi6 after structural relaxation, from Alexandria via LeMat-Bulk.

- energy of formation (meV per atom) = -352
- calculated volume (Å³/f.u.) = 104.7
- density of states at the Fermi level (states/eV/atom) = 0.2403

abc: 7.4752 10.5776 10.5953
angles: 90.00 90.00 90.00
Space group Cmmm (No. 65)
One atom of each set of equivalent atoms:
Tm1 0.0000 0.0000 0.2486 (multiplicity 4)
Tm2 0.0000 0.2474 0.5000 (multiplicity 4)
Ta1 0.0000 0.2478 0.0000 (multiplicity 4)
Ta2 0.0000 0.5000 0.2513 (multiplicity 4)
Ni1 0.0000 0.0000 0.0000 (multiplicity 2)
Ni2 0.0000 0.0000 0.5000 (multiplicity 2)
Ni3 0.0000 0.2553 0.2407 (multiplicity 8)
Ni4 0.0000 0.5000 0.0000 (multiplicity 2)
Ni5 0.0000 0.5000 0.5000 (multiplicity 2)
Ni6 0.2414 0.3769 0.3686 (multiplicity 16)
Ni7 0.2426 0.3727 0.1191 (multiplicity 16)


Record 6
The following is a GGA-PBE calculation of UTaNi14 after structural relaxation, from Alexandria via LeMat-Bulk.

- energy of formation (meV per atom) = -148
- calculated volume (Å³/f.u.) = 191.2
- density of states at the Fermi level (states/eV/atom) = 1.4409

abc: 5.2144 5.2144 7.0306
angles: 90.00 90.00 90.00
Space group P4/mmm (No. 123)
One atom of each set of equivalent atoms:
U1 0.0000 0.0000 0.0000 (multiplicity 1)
Ta1 0.5000 0.5000 0.0000 (multiplicity 1)
Ni1 0.0000 0.0000 0.5000 (multiplicity 1)
Ni2 0.0000 0.5000 0.0000 (multiplicity 2)
Ni3 0.0000 0.5000 0.5000 (multiplicity 2)
Ni4 0.2516 0.2516 0.2589 (multiplicity 8)
Ni5 0.5000 0.5000 0.5000 (multiplicity 1)


Record 7
The following is a GGA-PBE calculation of TaV3Ni after structural relaxation, from Alexandria via LeMat-Bulk.

- energy of formation (meV per atom) = 1731
- calculated volume (Å³/f.u.) = 96.4
- density of states at the Fermi level (states/eV/atom) = 1.3014

abc: 4.5852 4.5852 4.5852
angles: 90.00 90.00 90.00
Space group Pm-3m (No. 221)
One atom of each set of equivalent atoms:
Ta1 0.0000 0.0000 0.0000 (multiplicity 1)
V1 0.0000 0.0000 0.5000 (multiplicity 3)
Ni1 0.5000 0.5000 0.5000 (multiplicity 1)


Record 8
The following is a GGA-PBE calculation of TaV4Ni12 after structural relaxation, from Alexandria via LeMat-Bulk.

- energy of formation (meV per atom) = 64
- calculated volume (Å³/f.u.) = 211.1
- density of states at the Fermi level (states/eV/atom) = 1.4883

abc: 7.5018 7.5018 7.5018
angles: 90.00 90.00 90.00
Space group Im-3m (No. 229)
One atom of each set of equivalent atoms:
Ta1 0.0000 0.0000 0.0000 (multiplicity 2)
V1 0.2500 0.2500 0.2500 (multiplicity 8)
Ni1 0.0000 0.0000 0.3115 (multiplicity 12)
Ni2 0.0000 0.2500 0.5000 (multiplicity 12)